(1)
DFT (PBE-GGA) results for PmAgAsPt after structural relaxation.

Cell and atoms, written as POSCAR:
```
PmAgAsPt
1.0
-2.7891 2.4005 3.2134
-4.6115 -1.4173 0.7698
-1.2313 -2.1177 4.2269
As Ag Pt Pm
1 1 1 1
direct
0.5000 0.5000 0.5000
0.7500 0.7500 0.7500
0.0000 0.0000 0.0000
0.2500 0.2500 0.2500
```

Results
Calculated total energy, eV per cell: -20.47
Density of states at the Fermi level, states/eV/cell: 1.7
ΔE_f, meV per atom: -545



(2)
DFT (PBE-GGA) results for Pm2AgAs3Pt4 after structural relaxation.

Cell and atoms, written as POSCAR:
```
Pm2AgAs3Pt4
1.0
-4.0894 1.1110 -0.7797
0.3648 -1.4846 -4.0284
-3.2438 -9.6504 3.2628
Pm Ag As Pt
2 1 3 4
direct
0.5000 0.0000 0.2398
0.0000 0.5000 0.7602
0.5000 0.5000 0.5000
0.0000 0.0000 0.5000
0.5000 0.0000 0.8704
0.0000 0.5000 0.1296
0.5000 0.5000 0.0000
0.0000 0.0000 0.0000
0.5000 0.0000 0.6468
0.0000 0.5000 0.3532
```

Results
Calculated total energy, eV per cell: -57.96
Density of states at the Fermi level, states/eV/cell: 5.9
ΔE_f, meV per atom: -749



(3)
DFT (PBE-GGA) results for PmPuAgAs after structural relaxation.

Cell and atoms, written as POSCAR:
```
PmPuAgAs
1.0
-0.1383 3.4699 3.8172
-3.1215 -0.7349 4.0432
1.9891 -1.1631 4.6175
As Pm Ag Pu
1 1 1 1
direct
0.7500 0.7500 0.7500
0.5000 0.5000 0.5000
0.2500 0.2500 0.2500
0.0000 0.0000 0.0000
```

Results
Calculated total energy, eV per cell: -28.63
Density of states at the Fermi level, states/eV/cell: 10.0
ΔE_f, meV per atom: -511